LuHf2Ti | PBE | relaxed

abc: 4.464 4.464 4.486
angles: 90.00 90.00 90.00
Space group P4/mmm (No. 123)
Inequivalent atoms, fractional coordinates:
Lu1 0.000 0.000 0.000 x1
Hf1 0.000 0.500 0.500 x2
Ti1 0.500 0.500 0.000 x1

Values from the calculation:
polymorph energy (0 for the lowest one)	1.71	kJ/mol of atoms

=====

Lu2HfTl | PBE | relaxed

abc: 4.652 4.652 4.592
angles: 90.00 90.00 90.00
Space group P4/mmm (No. 123)
Inequivalent atoms, fractional coordinates:
Lu1 0.000 0.500 0.000 x2
Hf1 0.000 0.000 0.500 x1
Tl1 0.500 0.500 0.500 x1

Values from the calculation:
polymorph energy (0 for the lowest one)	9.68	kJ/mol of atoms

=====

Lu2HfTl | PBE | relaxed

abc: 3.408 3.408 8.870
angles: 90.00 90.00 90.00
Space group P4/mmm (No. 123)
Inequivalent atoms, fractional coordinates:
Lu1 0.000 0.000 0.248 x2
Hf1 0.500 0.500 0.000 x1
Tl1 0.500 0.500 0.500 x1

Values from the calculation:
polymorph energy (0 for the lowest one)	0.00	kJ/mol of atoms

=====

LuHf2Tl | PBE | relaxed

abc: 4.497 4.497 4.592
angles: 90.00 90.00 90.00
Space group P4/mmm (No. 123)
Inequivalent atoms, fractional coordinates:
Lu1 0.000 0.000 0.000 x1
Hf1 0.000 0.500 0.500 x2
Tl1 0.500 0.500 0.000 x1

=====

Lu2HfTl | PBE | relaxed

abc: 3.4038 3.4038 31.3623
angles: 90.00 90.00 120.00
Space group R-3m (No. 166, hexagonal axes)
Inequivalent atoms, fractional coordinates:
Lu1 0.0000 0.0000 0.2487 x6
Hf1 0.0000 0.0000 0.5000 x3
Tl1 0.0000 0.0000 0.0000 x3

Values from the calculation:
polymorph energy (0 for the lowest one)	5.20	kJ/mol of atoms

=====

TmLu2Hf | PBE | relaxed

abc: 4.762 4.762 4.768
angles: 90.00 90.00 90.00
Space group P4/mmm (No. 123)
Inequivalent atoms, fractional coordinates:
Tm1 0.000 0.000 0.000 x1
Lu1 0.000 0.500 0.500 x2
Hf1 0.500 0.500 0.000 x1

Values from the calculation:
polymorph energy (0 for the lowest one)	0.00	kJ/mol of atoms

=====

Tm2LuHf | PBE | relaxed

abc: 7.633 7.633 7.633
angles: 90.00 90.00 90.00
Space group Fm-3m (No. 225)
Inequivalent atoms, fractional coordinates:
Tm1 0.250 0.250 0.250 x8
Lu1 0.000 0.000 0.000 x4
Hf1 0.000 0.000 0.500 x4

Values from the calculation:
polymorph energy (0 for the lowest one)	12.98	kJ/mol of atoms

=====

Tm2LuHf | PBE | relaxed

abc: 4.777 4.777 4.767
angles: 90.00 90.00 90.00
Space group P4/mmm (No. 123)
Inequivalent atoms, fractional coordinates:
Tm1 0.000 0.500 0.000 x2
Lu1 0.000 0.000 0.500 x1
Hf1 0.500 0.500 0.500 x1

Values from the calculation:
polymorph energy (0 for the lowest one)	0.00	kJ/mol of atoms

=====

TmLu2Hf | PBE | relaxed

abc: 7.615 7.615 7.615
angles: 90.00 90.00 90.00
Space group Fm-3m (No. 225)
Inequivalent atoms, fractional coordinates:
Tm1 0.000 0.000 0.000 x4
Lu1 0.250 0.250 0.250 x8
Hf1 0.000 0.000 0.500 x4

Values from the calculation:
polymorph energy (0 for the lowest one)	13.19	kJ/mol of atoms

=====

Tm2LuHf | PBE | relaxed

abc: 3.949 3.949 7.078
angles: 90.00 90.00 90.00
Space group P4/mmm (No. 123)
Inequivalent atoms, fractional coordinates:
Tm1 0.000 0.000 0.228 x2
Lu1 0.500 0.500 0.500 x1
Hf1 0.500 0.500 0.000 x1

Values from the calculation:
polymorph energy (0 for the lowest one)	8.77	kJ/mol of atoms

=====

TmLu2Hf | PBE | relaxed

abc: 3.909 3.909 7.222
angles: 90.00 90.00 90.00
Space group P4/mmm (No. 123)
Inequivalent atoms, fractional coordinates:
Tm1 0.000 0.000 0.000 x1
Lu1 0.500 0.500 0.275 x2
Hf1 0.000 0.000 0.500 x1

Values from the calculation:
polymorph energy (0 for the lowest one)	8.64	kJ/mol of atoms

=====

Tm2LuHf | PBE | relaxed

abc: 3.2883 3.2883 35.4854
angles: 90.00 90.00 120.00
Space group R-3m (No. 166, hexagonal axes)
Inequivalent atoms, fractional coordinates:
Tm1 0.0000 0.0000 0.0878 x6
Lu1 0.0000 0.0000 0.5000 x3
Hf1 0.0000 0.0000 0.0000 x3

Values from the calculation:
polymorph energy (0 for the lowest one)	21.00	kJ/mol of atoms

=====

| no. | size of the total moment (μB/atom) | VASP energy (eV/cell) |
| --- | --- | --- |
| 1 | 0.000 | -31.6 |
| 2 | 0.004 | -21.4 |
| 3 | 0.000 | -21.8 |
| 4 | 0.000 | -26.7 |
| 5 | 0.000 | -64.8 |
| 6 | 0.001 | -23.0 |
| 7 | 0.767 | -89.6 |
| 8 | 0.000 | -22.9 |
| 9 | 0.723 | -89.7 |
| 10 | 0.000 | -22.6 |
| 11 | 0.000 | -22.6 |
| 12 | 0.000 | -66.2 |